An optimized crystal structure of KCdC2Br. Source: Alexandria via LeMat-Bulk, functional PBE.

a b c (Å): 5.289 5.289 6.201
angles (deg): 90.00 90.00 90.00
Fractional coordinates of all 5 atoms:
K (0.000, 0.000, 0.000)
Cd (0.500, 0.500, 0.500)
C (0.000, 0.500, 0.000)
C (0.500, 0.000, 0.000)
Br (0.000, 0.000, 0.500)

Computed properties:
The calculation puts the total energy at -0.1426 Ry per atom. For the density of states at the Fermi level, the calculation gives 5.09 states/eV/f.u. The value obtained for the formation energy without anion corrections is 2.49 eV/atom. As for the symmetry: P4/mmm, No. 123. For the relative energy among the computed polymorphs, the calculation gives 0.8396 eV/atom.